Record 1
Computed, not measured: an optimized crystal structure of SrPaHgCl6 at the GGA-PBE level of DFT.

Lattice parameters (Å, degrees): 7.4578 7.4578 17.7431 90.00 90.00 120.00
Last column: nearest neighbours and their distance in Å.
Sites, in units of the cell vectors:
Sr  0.3333  0.6667  0.2500  6 Cl 2.93
Sr  0.6667  0.3333  0.7500  6 Cl 2.93
Pa  0.3333  0.6667  0.7500  6 Cl 2.66
Pa  0.6667  0.3333  0.2500  6 Cl 2.66
Hg  0.0000  0.0000  0.0000  6 Cl 4.04
Hg  0.0000  0.0000  0.5000  6 Cl 4.04
Cl  0.0264  0.3868  0.6650  1 Pa 2.66, 1 Sr 2.93
Cl  0.0264  0.6397  0.8350  1 Pa 2.66, 1 Sr 2.93
Cl  0.3603  0.3868  0.8350  1 Pa 2.66, 1 Sr 2.93
Cl  0.3603  0.9736  0.6650  1 Pa 2.66, 1 Sr 2.93
Cl  0.3868  0.0264  0.1650  1 Pa 2.66, 1 Sr 2.93
Cl  0.3868  0.3603  0.3350  1 Pa 2.66, 1 Sr 2.93
Cl  0.6132  0.6397  0.6650  1 Pa 2.66, 1 Sr 2.93
Cl  0.6132  0.9736  0.8350  1 Pa 2.66, 1 Sr 2.93
Cl  0.6397  0.0264  0.3350  1 Pa 2.66, 1 Sr 2.93
Cl  0.6397  0.6132  0.1650  1 Pa 2.66, 1 Sr 2.93
Cl  0.9736  0.3603  0.1650  1 Pa 2.66, 1 Sr 2.93
Cl  0.9736  0.6132  0.3350  1 Pa 2.66, 1 Sr 2.93

Values from the calculation:
ΔE_f (raw): -1614 kJ/mol of formula units
Total DFT energy (no corrections): -78.57 eV per cell

***

Record 2
Computed, not measured: an optimized crystal structure of HgPbCl2 at the GGA-PBE level of DFT.

Lattice parameters (Å, degrees): 4.4773 4.1097 7.4972 90.00 107.33 90.00
Last column: nearest neighbours and their distance in Å.
Sites, in units of the cell vectors:
Hg  0.0000  0.0000  0.0000  6 Cl 3.49-3.77, 2 Pb 3.53
Pb  0.7971  0.5000  0.5996  1 Cl 2.57
Cl  0.2877  0.0000  0.5772  4 Pb 3.04-3.05
Cl  0.6195  0.5000  0.2400  1 Pb 2.57

Values from the calculation:
ΔE_f (raw): -277 kJ/mol of formula units
ΔE to the lowest computed polymorph: 102 meV/atom
Total DFT energy (no corrections): -10.58 eV per cell

***

Record 3
Computed, not measured: an optimized crystal structure of HgPbCl2 at the GGA-PBE level of DFT.

Lattice parameters (Å, degrees): 4.3563 4.3563 9.9004 102.30 102.30 59.96
Last column: nearest neighbours and their distance in Å.
Sites, in units of the cell vectors:
Hg  0.0000  0.0000  0.0000  6 Cl 4.11-4.15, 6 Hg 4.35-4.36
Pb  0.5000  0.5000  0.5000  6 Cl 2.93
Cl  0.2176  0.2176  0.6576  3 Pb 2.93
Cl  0.7824  0.7824  0.3424  3 Pb 2.93

Values from the calculation:
ΔE_f (raw): -317 kJ/mol of formula units
ΔE to the lowest computed polymorph: 0 meV/atom
Total DFT energy (no corrections): -10.98 eV per cell

***

Record 4
Computed, not measured: an optimized crystal structure of HgPb2Cl6 at the GGA-PBE level of DFT.

Lattice parameters (Å, degrees): 6.6744 6.6744 12.9686 90.00 90.00 90.00
Last column: nearest neighbours and their distance in Å.
Sites, in units of the cell vectors:
Hg  0.0000  0.0000  0.0000  6 Cl 2.70-2.78
Hg  0.5000  0.5000  0.5000  6 Cl 2.70-2.78
Pb  0.0000  0.0000  0.3346  6 Cl 2.89-2.93
Pb  0.0000  0.0000  0.6654  6 Cl 2.89-2.93
Pb  0.5000  0.5000  0.1654  6 Cl 2.89-2.93
Pb  0.5000  0.5000  0.8346  6 Cl 2.89-2.93
Cl  0.1904  0.1904  0.1557  1 Hg 2.70, 2 Pb 2.93
Cl  0.1904  0.1904  0.8443  1 Hg 2.70, 2 Pb 2.93
Cl  0.2057  0.2057  0.5000  1 Hg 2.78, 2 Pb 2.89
Cl  0.2943  0.7057  0.0000  1 Hg 2.78, 2 Pb 2.89
Cl  0.3096  0.6904  0.3443  1 Hg 2.70, 2 Pb 2.93
Cl  0.3096  0.6904  0.6557  1 Hg 2.70, 2 Pb 2.93
Cl  0.6904  0.3096  0.3443  1 Hg 2.70, 2 Pb 2.93
Cl  0.6904  0.3096  0.6557  1 Hg 2.70, 2 Pb 2.93
Cl  0.7057  0.2943  0.0000  1 Hg 2.78, 2 Pb 2.89
Cl  0.7943  0.7943  0.5000  1 Hg 2.78, 2 Pb 2.89
Cl  0.8096  0.8096  0.1557  1 Hg 2.70, 2 Pb 2.93
Cl  0.8096  0.8096  0.8443  1 Hg 2.70, 2 Pb 2.93

Values from the calculation:
ΔE_f (raw): -815 kJ/mol of formula units
ΔE to the lowest computed polymorph: 15 meV/atom
Total DFT energy (no corrections): -54.50 eV per cell

***

Record 5
Computed, not measured: an optimized crystal structure of HgPb6Cl12 at the GGA-PBE level of DFT.

Lattice parameters (Å, degrees): 9.1260 9.1260 9.1260 106.54 106.54 106.54
Last column: nearest neighbours and their distance in Å.
Sites, in units of the cell vectors:
Hg  0.0000  0.0000  0.0000  6 Cl 3.90
Pb  0.1953  0.6025  0.2642  6 Cl 2.84-3.03
Pb  0.2642  0.1953  0.6025  6 Cl 2.84-3.03
Pb  0.3975  0.7358  0.8047  6 Cl 2.84-3.03
Pb  0.6025  0.2642  0.1953  6 Cl 2.84-3.03
Pb  0.7358  0.8047  0.3975  6 Cl 2.84-3.03
Pb  0.8047  0.3975  0.7358  6 Cl 2.84-3.03
Cl  0.0668  0.8537  0.3673  3 Pb 2.89-3.03
Cl  0.1463  0.6327  0.9332  3 Pb 2.89-3.03
Cl  0.1721  0.4403  0.4855  3 Pb 2.84-2.99
Cl  0.3673  0.0668  0.8537  3 Pb 2.89-3.03
Cl  0.4403  0.4855  0.1721  3 Pb 2.84-2.99
Cl  0.4855  0.1721  0.4403  3 Pb 2.84-2.99
Cl  0.5145  0.8279  0.5597  3 Pb 2.84-2.99
Cl  0.5597  0.5145  0.8279  3 Pb 2.84-2.99
Cl  0.6327  0.9332  0.1463  3 Pb 2.89-3.03
Cl  0.8279  0.5597  0.5145  3 Pb 2.84-2.99
Cl  0.8537  0.3673  0.0668  3 Pb 2.89-3.03
Cl  0.9332  0.1463  0.6327  3 Pb 2.89-3.03

Values from the calculation:
ΔE_f (raw): -1937 kJ/mol of formula units
Total DFT energy (no corrections): -64.78 eV per cell

***

Record 6
Computed, not measured: an optimized crystal structure of Hg3Pb5Cl12 at the GGA-PBE level of DFT.

Lattice parameters (Å, degrees): 15.5192 15.5192 15.5192 109.47 109.47 109.47
Last column: nearest neighbours and their distance in Å.
Sites, in units of the cell vectors:
Hg  0.1250  0.2500  0.3750  8 Cl 3.37-3.57
Hg  0.1250  0.3750  0.7500  8 Cl 3.37-3.57
Hg  0.2500  0.3750  0.1250  8 Cl 3.37-3.57
Hg  0.2500  0.8750  0.6250  8 Cl 3.37-3.57
Hg  0.3750  0.1250  0.2500  8 Cl 3.37-3.57
Hg  0.3750  0.7500  0.1250  8 Cl 3.37-3.57
Hg  0.6250  0.2500  0.8750  8 Cl 3.37-3.57
Hg  0.6250  0.8750  0.7500  8 Cl 3.37-3.57
Hg  0.7500  0.1250  0.3750  8 Cl 3.37-3.57
Hg  0.7500  0.6250  0.8750  8 Cl 3.37-3.57
Hg  0.8750  0.6250  0.2500  8 Cl 3.37-3.57
Hg  0.8750  0.7500  0.6250  8 Cl 3.37-3.57
Pb  0.0000  0.0000  0.0000  6 Cl 2.92
Pb  0.0000  0.0000  0.5000  6 Cl 2.92
Pb  0.0000  0.5000  0.0000  6 Cl 2.92
Pb  0.0000  0.5000  0.5000  6 Cl 2.92
Pb  0.1250  0.7500  0.8750  4 Cl 2.77
Pb  0.1250  0.8750  0.2500  4 Cl 2.77
Pb  0.2500  0.1250  0.8750  4 Cl 2.77
Pb  0.2500  0.6250  0.3750  4 Cl 2.77
Pb  0.3750  0.2500  0.6250  4 Cl 2.77
Pb  0.3750  0.6250  0.7500  4 Cl 2.77
Pb  0.5000  0.0000  0.0000  6 Cl 2.92
Pb  0.5000  0.0000  0.5000  6 Cl 2.92
Pb  0.5000  0.5000  0.0000  6 Cl 2.92
Pb  0.5000  0.5000  0.5000  6 Cl 2.92
Pb  0.6250  0.3750  0.2500  4 Cl 2.77
Pb  0.6250  0.7500  0.3750  4 Cl 2.77
Pb  0.7500  0.3750  0.6250  4 Cl 2.77
Pb  0.7500  0.8750  0.1250  4 Cl 2.77
Pb  0.8750  0.1250  0.7500  4 Cl 2.77
Pb  0.8750  0.2500  0.1250  4 Cl 2.77
Cl  0.0344  0.2117  0.1141  2 Pb 2.77-2.92
Cl  0.0344  0.3227  0.9203  2 Pb 2.77-2.92
Cl  0.0797  0.6141  0.4024  2 Pb 2.77-2.92
Cl  0.0797  0.9656  0.6773  2 Pb 2.77-2.92
Cl  0.0976  0.7117  0.6773  2 Pb 2.77-2.92
Cl  0.0976  0.8859  0.4203  2 Pb 2.77-2.92
Cl  0.1141  0.0344  0.2117  2 Pb 2.77-2.92
Cl  0.1141  0.5797  0.9024  2 Pb 2.77-2.92
Cl  0.1773  0.2117  0.5976  2 Pb 2.77-2.92
Cl  0.1773  0.4656  0.5797  2 Pb 2.77-2.92
Cl  0.2117  0.1141  0.0344  2 Pb 2.77-2.92
Cl  0.2117  0.5976  0.1773  2 Pb 2.77-2.92
Cl  0.2883  0.3227  0.9024  2 Pb 2.77-2.92
Cl  0.2883  0.4656  0.3859  2 Pb 2.77-2.92
Cl  0.3227  0.9024  0.2883  2 Pb 2.77-2.92
Cl  0.3227  0.9203  0.0344  2 Pb 2.77-2.92
Cl  0.3859  0.2883  0.4656  2 Pb 2.77-2.92
Cl  0.3859  0.5976  0.9203  2 Pb 2.77-2.92
Cl  0.4024  0.0797  0.6141  2 Pb 2.77-2.92
Cl  0.4024  0.8227  0.7883  2 Pb 2.77-2.92
Cl  0.4203  0.0976  0.8859  2 Pb 2.77-2.92
Cl  0.4203  0.8227  0.5344  2 Pb 2.77-2.92
Cl  0.4656  0.3859  0.2883  2 Pb 2.77-2.92
Cl  0.4656  0.5797  0.1773  2 Pb 2.77-2.92
Cl  0.5344  0.4203  0.8227  2 Pb 2.77-2.92
Cl  0.5344  0.6141  0.7117  2 Pb 2.77-2.92
Cl  0.5797  0.1773  0.4656  2 Pb 2.77-2.92
Cl  0.5797  0.9024  0.1141  2 Pb 2.77-2.92
Cl  0.5976  0.1773  0.2117  2 Pb 2.77-2.92
Cl  0.5976  0.9203  0.3859  2 Pb 2.77-2.92
Cl  0.6141  0.4024  0.0797  2 Pb 2.77-2.92
Cl  0.6141  0.7117  0.5344  2 Pb 2.77-2.92
Cl  0.6773  0.0797  0.9656  2 Pb 2.77-2.92
Cl  0.6773  0.0976  0.7117  2 Pb 2.77-2.92
Cl  0.7117  0.5344  0.6141  2 Pb 2.77-2.92
Cl  0.7117  0.6773  0.0976  2 Pb 2.77-2.92
Cl  0.7883  0.4024  0.8227  2 Pb 2.77-2.92
Cl  0.7883  0.8859  0.9656  2 Pb 2.77-2.92
Cl  0.8227  0.5344  0.4203  2 Pb 2.77-2.92
Cl  0.8227  0.7883  0.4024  2 Pb 2.77-2.92
Cl  0.8859  0.4203  0.0976  2 Pb 2.77-2.92
Cl  0.8859  0.9656  0.7883  2 Pb 2.77-2.92
Cl  0.9024  0.1141  0.5797  2 Pb 2.77-2.92
Cl  0.9024  0.2883  0.3227  2 Pb 2.77-2.92
Cl  0.9203  0.0344  0.3227  2 Pb 2.77-2.92
Cl  0.9203  0.3859  0.5976  2 Pb 2.77-2.92
Cl  0.9656  0.6773  0.0797  2 Pb 2.77-2.92
Cl  0.9656  0.7883  0.8859  2 Pb 2.77-2.92

Values from the calculation:
ΔE_f (raw): -1498 kJ/mol of formula units
Total DFT energy (no corrections): -228.52 eV per cell

***

Record 7
Computed, not measured: an optimized crystal structure of HgPbCl2 at the GGA-PBE level of DFT.

Lattice parameters (Å, degrees): 5.3111 5.3111 5.3111 60.00 60.00 60.00
Last column: nearest neighbours and their distance in Å.
Sites, in units of the cell vectors:
Hg  0.0000  0.0000  0.0000  8 Cl 3.25
Pb  0.5000  0.5000  0.5000  8 Cl 3.25
Cl  0.2500  0.2500  0.2500  4 Pb 3.25, 4 Hg 3.25
Cl  0.7500  0.7500  0.7500  4 Pb 3.25, 4 Hg 3.25

Values from the calculation:
ΔE_f (raw): -236 kJ/mol of formula units
ΔE to the lowest computed polymorph: 210 meV/atom
Total DFT energy (no corrections): -10.15 eV per cell

***

Record 8
Computed, not measured: an optimized crystal structure of HgPbCl2 at the GGA-PBE level of DFT.

Lattice parameters (Å, degrees): 9.8706 9.8706 9.8706 25.54 25.54 25.54
Last column: nearest neighbours and their distance in Å.
Sites, in units of the cell vectors:
Hg  0.0000  0.0000  0.0000  6 Cl 4.11-4.14, 6 Hg 4.36
Pb  0.8341  0.8341  0.8341  6 Cl 2.93-2.94
Cl  0.2199  0.2199  0.2199  3 Pb 2.93
Cl  0.4480  0.4480  0.4480  3 Pb 2.94

Values from the calculation:
ΔE_f (raw): -317 kJ/mol of formula units
ΔE to the lowest computed polymorph: 0 meV/atom
Total DFT energy (no corrections): -10.99 eV per cell

***

Record 9
Computed, not measured: an optimized crystal structure of HgPbCl2 at the GGA-PBE level of DFT.

Lattice parameters (Å, degrees): 5.9824 5.9824 5.9824 135.34 135.34 65.01
Last column: nearest neighbours and their distance in Å.
Sites, in units of the cell vectors:
Hg  0.0000  0.0000  0.0000  8 Cl 3.21-3.40, 4 Pb 3.40
Pb  0.2500  0.7500  0.5000  8 Cl 3.21-3.40, 4 Hg 3.40
Cl  0.5000  0.5000  0.0000  4 Hg 3.21, 4 Cl 3.40, 4 Pb 3.40
Cl  0.7500  0.2500  0.5000  4 Pb 3.21, 4 Hg 3.40, 4 Cl 3.40

Values from the calculation:
ΔE_f (raw): -209 kJ/mol of formula units
ΔE to the lowest computed polymorph: 278 meV/atom
Total DFT energy (no corrections): -9.87 eV per cell

***

Record 10
Computed, not measured: an optimized crystal structure of Hg2Pb2Cl at the GGA-PBE level of DFT.

Lattice parameters (Å, degrees): 8.1719 8.1719 4.4335 90.00 90.00 90.00
Last column: nearest neighbours and their distance in Å.
Sites, in units of the cell vectors:
Hg  0.1489  0.3511  0.0000  6 Pb 3.15-3.35, 1 Hg 3.44
Hg  0.3511  0.8511  0.0000  6 Pb 3.15-3.35, 1 Hg 3.44
Hg  0.6489  0.1489  0.0000  6 Pb 3.15-3.35, 1 Hg 3.44
Hg  0.8511  0.6489  0.0000  6 Pb 3.15-3.35, 1 Hg 3.44
Pb  0.1576  0.6576  0.5000  2 Cl 3.08, 6 Hg 3.15-3.35
Pb  0.3424  0.1576  0.5000  2 Cl 3.08, 6 Hg 3.15-3.35
Pb  0.6576  0.8424  0.5000  2 Cl 3.08, 6 Hg 3.15-3.35
Pb  0.8424  0.3424  0.5000  2 Cl 3.08, 6 Hg 3.15-3.35
Cl  0.0000  0.0000  0.5000  4 Pb 3.08
Cl  0.5000  0.5000  0.5000  4 Pb 3.08

Values from the calculation:
ΔE_f (raw): -98 kJ/mol of formula units
ΔE to the lowest computed polymorph: 0 meV/atom
Total DFT energy (no corrections): -21.77 eV per cell